(1)
Y2SeO | PBE | optimized geometry

The formation energy (no corrections) is -2.183 eV/atom. The calculation puts the total energy at -7.5255 eV per atom. As for the polymorph energy (0 for the lowest one): 0.000 eV/atom.

It has space group R-3m (No. 166, hexagonal axes), with a = 3.6929 Å, b = 3.6929 Å, c = 19.3035 Å, α = 90.00°, β = 90.00° and γ = 120.00°. The distinct sites, in fractional coordinates, are Y at (0.0000, 0.0000, 0.2319), Se at (0.0000, 0.0000, 0.0000) and O at (0.0000, 0.0000, 0.5000).



(2)
Y2ZnSeO | PBE | optimized geometry

The formation energy (no corrections) is -0.588 eV/atom. The calculation puts the total energy at -5.1170 eV per atom.

It has space group P4/mmm (No. 123), with a = 5.361 Å, b = 5.361 Å, c = 3.843 Å, α = 90.00°, β = 90.00° and γ = 90.00°. The distinct sites, in fractional coordinates, are Y at (0.000, 0.500, 0.000), Zn at (0.000, 0.000, 0.000), Se at (0.500, 0.500, 0.500) and O at (0.000, 0.000, 0.500).



(3)
Yb2SeO2 | PBE | optimized geometry

The formation energy (no corrections) is -2.444 eV/atom. The calculation puts the total energy at -5.7342 eV per atom.

It has space group P-3m1 (No. 164), with a = 3.7933 Å, b = 3.7933 Å, c = 7.1617 Å, α = 90.00°, β = 90.00° and γ = 120.00°. The distinct sites, in fractional coordinates, are Yb at (0.3333, 0.6667, 0.3045), Se at (0.0000, 0.0000, 0.0000) and O at (0.3333, 0.6667, 0.6274).



(4)
Zn6SeO6 | PBE | optimized geometry

The formation energy (no corrections) is -1.078 eV/atom. The calculation puts the total energy at -4.2220 eV per atom.

It has space group Pm-3 (No. 200), with a = 5.717 Å, b = 5.717 Å, c = 5.717 Å, α = 90.00°, β = 90.00° and γ = 90.00°. The distinct sites, in fractional coordinates, are Zn at (0.000, 0.247, 0.500), Se at (0.000, 0.000, 0.000) and O at (0.000, 0.500, 0.255).



(5)
Zn2Se2O | PBE | optimized geometry

The formation energy (no corrections) is -0.323 eV/atom. The calculation puts the total energy at -3.2179 eV per atom. As for the polymorph energy (0 for the lowest one): 0.000 eV/atom.

It has space group P4/mbm (No. 127), with a = 5.729 Å, b = 5.729 Å, c = 5.313 Å, α = 90.00°, β = 90.00° and γ = 90.00°. The distinct sites, in fractional coordinates, are Zn at (0.195, 0.305, 0.000), Se at (0.150, 0.350, 0.500) and O at (0.000, 0.000, 0.000).



(6)
Zn2Se2O | PBE | optimized geometry

The formation energy (no corrections) is 0.308 eV/atom. The calculation puts the total energy at -2.5872 eV per atom. As for the polymorph energy (0 for the lowest one): 0.631 eV/atom.

It has space group I4/mmm (No. 139), with a = 3.732 Å, b = 3.732 Å, c = 13.468 Å, α = 90.00°, β = 90.00° and γ = 90.00°. The distinct sites, in fractional coordinates, are Zn at (0.000, 0.000, 0.086), Se at (0.000, 0.500, 0.250) and O at (0.000, 0.000, 0.500).



(7)
ZnSe2O | PBE | optimized geometry

The formation energy (no corrections) is -0.072 eV/atom. The calculation puts the total energy at -3.3724 eV per atom. As for the polymorph energy (0 for the lowest one): 0.000 eV/atom.

It has space group R-3m (No. 166, hexagonal axes), with a = 3.9836 Å, b = 3.9836 Å, c = 18.8968 Å, α = 90.00°, β = 90.00° and γ = 120.00°. The distinct sites, in fractional coordinates, are Zn at (0.0000, 0.0000, 0.0000), Se at (0.0000, 0.0000, 0.4009) and O at (0.0000, 0.0000, 0.5000).



(8)
ZnSe2O | PBE | optimized geometry

The formation energy (no corrections) is 0.480 eV/atom. The calculation puts the total energy at -2.8206 eV per atom. As for the polymorph energy (0 for the lowest one): 0.552 eV/atom.

It has space group R-3m (No. 166, hexagonal axes), with a = 2.9822 Å, b = 2.9822 Å, c = 25.6136 Å, α = 90.00°, β = 90.00° and γ = 120.00°. The distinct sites, in fractional coordinates, are Zn at (0.0000, 0.0000, 0.0000), Se at (0.0000, 0.0000, 0.1000) and O at (0.0000, 0.0000, 0.5000).



(9)
ZnSe2O | PBE | optimized geometry

The formation energy (no corrections) is 0.013 eV/atom. The calculation puts the total energy at -3.2877 eV per atom. As for the polymorph energy (0 for the lowest one): 0.085 eV/atom.

It has space group I-42d (No. 122), with a = 5.158 Å, b = 5.158 Å, c = 12.151 Å, α = 90.00°, β = 90.00° and γ = 90.00°. The distinct sites, in fractional coordinates, are Zn at (0.000, 0.000, 0.000), Se at (0.176, 0.250, 0.625) and O at (0.000, 0.000, 0.500).



(10)
ZnSe2O | PBE | optimized geometry

The formation energy (no corrections) is 0.477 eV/atom. The calculation puts the total energy at -2.8230 eV per atom. As for the polymorph energy (0 for the lowest one): 0.549 eV/atom.

It has space group Fm-3m (No. 225), with a = 6.250 Å, b = 6.250 Å, c = 6.250 Å, α = 90.00°, β = 90.00° and γ = 90.00°. The distinct sites, in fractional coordinates, are Zn at (0.000, 0.000, 0.000), Se at (0.250, 0.250, 0.250) and O at (0.000, 0.000, 0.500).



(11)
Zn4SeO2 | PBE | optimized geometry

The formation energy (no corrections) is -0.109 eV/atom. The calculation puts the total energy at -2.7517 eV per atom.

It has space group I4/mmm (No. 139), with a = 4.670 Å, b = 4.670 Å, c = 11.629 Å, α = 90.00°, β = 90.00° and γ = 90.00°. The distinct sites, in fractional coordinates, are Zn at (0.000, 0.000, 0.238), Zn at (0.000, 0.500, 0.000), Se at (0.000, 0.000, 0.000) and O at (0.000, 0.000, 0.396).



(12)
ZnSeO2 | PBE | optimized geometry

The formation energy (no corrections) is -0.340 eV/atom. The calculation puts the total energy at -4.0091 eV per atom. As for the polymorph energy (0 for the lowest one): 0.462 eV/atom.

It has space group I-42d (No. 122), with a = 5.513 Å, b = 5.513 Å, c = 6.957 Å, α = 90.00°, β = 90.00° and γ = 90.00°. The distinct sites, in fractional coordinates, are Zn at (0.000, 0.000, 0.000), Se at (0.000, 0.000, 0.500) and O at (0.216, 0.250, 0.125).



(13)
Zn3SeO3 | PBE | optimized geometry

The formation energy (no corrections) is -0.831 eV/atom. The calculation puts the total energy at -4.0000 eV per atom.

It has space group Pm-3n (No. 223), with a = 5.761 Å, b = 5.761 Å, c = 5.761 Å, α = 90.00°, β = 90.00° and γ = 90.00°. The distinct sites, in fractional coordinates, are Zn at (0.000, 0.250, 0.500), Se at (0.000, 0.000, 0.000) and O at (0.000, 0.500, 0.250).



(14)
ZnSeO2 | PBE | optimized geometry

The formation energy (no corrections) is 0.214 eV/atom. The calculation puts the total energy at -3.4546 eV per atom. As for the polymorph energy (0 for the lowest one): 1.017 eV/atom.

It has space group Fm-3m (No. 225), with a = 5.691 Å, b = 5.691 Å, c = 5.691 Å, α = 90.00°, β = 90.00° and γ = 90.00°. The distinct sites, in fractional coordinates, are Zn at (0.000, 0.000, 0.000), Se at (0.000, 0.000, 0.500) and O at (0.250, 0.250, 0.250).



(15)
ZnSeO2 | PBE | optimized geometry

The formation energy (no corrections) is -0.173 eV/atom. The calculation puts the total energy at -3.8417 eV per atom. As for the polymorph energy (0 for the lowest one): 0.629 eV/atom.

It has space group R-3m (No. 166, hexagonal axes), with a = 3.8193 Å, b = 3.8193 Å, c = 15.3923 Å, α = 90.00°, β = 90.00° and γ = 120.00°. The distinct sites, in fractional coordinates, are Zn at (0.0000, 0.0000, 0.0000), Se at (0.0000, 0.0000, 0.5000) and O at (0.0000, 0.0000, 0.1181).



(16)
ZnSeO2 | PBE | optimized geometry

The formation energy (no corrections) is -0.802 eV/atom. The calculation puts the total energy at -4.4712 eV per atom. As for the polymorph energy (0 for the lowest one): 0.000 eV/atom.

It has space group R-3m (No. 166, hexagonal axes), with a = 3.0661 Å, b = 3.0661 Å, c = 18.1959 Å, α = 90.00°, β = 90.00° and γ = 120.00°. The distinct sites, in fractional coordinates, are Zn at (0.0000, 0.0000, 0.0000), Se at (0.0000, 0.0000, 0.5000) and O at (0.0000, 0.0000, 0.3950).



(17)
Zr2SeO | PBE | optimized geometry

The formation energy (no corrections) is -1.432 eV/atom. The calculation puts the total energy at -7.8165 eV per atom. As for the polymorph energy (0 for the lowest one): 0.000 eV/atom.

It has space group I-42d (No. 122), with a = 5.379 Å, b = 5.379 Å, c = 11.494 Å, α = 90.00°, β = 90.00° and γ = 90.00°. The distinct sites, in fractional coordinates, are Zr at (0.161, 0.250, 0.125), Se at (0.000, 0.000, 0.500) and O at (0.000, 0.000, 0.000).



(18)
Zr2Se2O | PBE | optimized geometry

The formation energy (no corrections) is -0.369 eV/atom. The calculation puts the total energy at -6.1733 eV per atom. As for the polymorph energy (0 for the lowest one): 1.012 eV/atom.

It has space group I4/mmm (No. 139), with a = 4.319 Å, b = 4.319 Å, c = 12.024 Å, α = 90.00°, β = 90.00° and γ = 90.00°. The distinct sites, in fractional coordinates, are Zr at (0.000, 0.000, 0.121), Se at (0.000, 0.500, 0.250) and O at (0.000, 0.000, 0.500).



(19)
ZrSeO3 | PBE | optimized geometry

The formation energy (no corrections) is -0.506 eV/atom. The calculation puts the total energy at -5.8873 eV per atom.

It has space group Pm-3m (No. 221), with a = 3.975 Å, b = 3.975 Å, c = 3.975 Å, α = 90.00°, β = 90.00° and γ = 90.00°. The distinct sites, in fractional coordinates, are Zr at (0.000, 0.000, 0.000), Se at (0.500, 0.500, 0.500) and O at (0.000, 0.500, 0.500).



(20)
ZrSe2O | PBE | optimized geometry

The formation energy (no corrections) is -0.248 eV/atom. The calculation puts the total energy at -5.3671 eV per atom.

It has space group I-42d (No. 122), with a = 5.468 Å, b = 5.468 Å, c = 12.157 Å, α = 90.00°, β = 90.00° and γ = 90.00°. The distinct sites, in fractional coordinates, are Zr at (0.000, 0.000, 0.000), Se at (0.205, 0.250, 0.625) and O at (0.000, 0.000, 0.500).



(21)
ZrSe2O2 | PBE | optimized geometry

The formation energy (no corrections) is -1.254 eV/atom. The calculation puts the total energy at -6.3408 eV per atom. As for the polymorph energy (0 for the lowest one): 0.000 eV/atom.

It has space group P4/mbm (No. 127), with a = 5.833 Å, b = 5.833 Å, c = 5.511 Å, α = 90.00°, β = 90.00° and γ = 90.00°. The distinct sites, in fractional coordinates, are Zr at (0.000, 0.000, 0.000), Se at (0.136, 0.364, 0.500) and O at (0.240, 0.260, 0.000).



(22)
Zr2SeO | PBE | optimized geometry

The formation energy (no corrections) is -1.192 eV/atom. The calculation puts the total energy at -7.5766 eV per atom. As for the polymorph energy (0 for the lowest one): 0.240 eV/atom.

It has space group Fm-3m (No. 225), with a = 6.346 Å, b = 6.346 Å, c = 6.346 Å, α = 90.00°, β = 90.00° and γ = 90.00°. The distinct sites, in fractional coordinates, are Zr at (0.250, 0.250, 0.250), Se at (0.000, 0.000, 0.000) and O at (0.000, 0.000, 0.500).



(23)
Zr2SeO2 | PBE | optimized geometry

The formation energy (no corrections) is -2.390 eV/atom. The calculation puts the total energy at -8.4898 eV per atom.

It has space group I4/mmm (No. 139), with a = 3.737 Å, b = 3.737 Å, c = 10.803 Å, α = 90.00°, β = 90.00° and γ = 90.00°. The distinct sites, in fractional coordinates, are Zr at (0.000, 0.000, 0.144), Se at (0.000, 0.000, 0.500) and O at (0.000, 0.500, 0.250).



(24)
ZrSe2O2 | PBE | optimized geometry

The formation energy (no corrections) is -0.429 eV/atom. The calculation puts the total energy at -5.5161 eV per atom. As for the polymorph energy (0 for the lowest one): 0.825 eV/atom.

It has space group I4/mmm (No. 139), with a = 3.295 Å, b = 3.295 Å, c = 17.965 Å, α = 90.00°, β = 90.00° and γ = 90.00°. The distinct sites, in fractional coordinates, are Zr at (0.000, 0.000, 0.000), Se at (0.000, 0.500, 0.250) and O at (0.000, 0.000, 0.437).



(25)
Zr2SeO | PBE | optimized geometry

The formation energy (no corrections) is -1.352 eV/atom. The calculation puts the total energy at -7.7363 eV per atom. As for the polymorph energy (0 for the lowest one): 0.080 eV/atom.

It has space group R-3m (No. 166, hexagonal axes), with a = 4.2714 Å, b = 4.2714 Å, c = 18.4218 Å, α = 90.00°, β = 90.00° and γ = 120.00°. The distinct sites, in fractional coordinates, are Zr at (0.0000, 0.0000, 0.1080), Se at (0.0000, 0.0000, 0.5000) and O at (0.0000, 0.0000, 0.0000).



(26)
ZrSe2O | PBE | optimized geometry

The formation energy (no corrections) is 0.398 eV/atom. The calculation puts the total energy at -4.7208 eV per atom.

It has space group R-3m (No. 166, hexagonal axes), with a = 3.2669 Å, b = 3.2669 Å, c = 24.8041 Å, α = 90.00°, β = 90.00° and γ = 120.00°. The distinct sites, in fractional coordinates, are Zr at (0.0000, 0.0000, 0.0000), Se at (0.0000, 0.0000, 0.1042) and O at (0.0000, 0.0000, 0.5000).



(27)
ZrSeO3 | PBE | optimized geometry

The formation energy (no corrections) is -1.368 eV/atom. The calculation puts the total energy at -6.7497 eV per atom.

It has space group Pm-3m (No. 221), with a = 4.133 Å, b = 4.133 Å, c = 4.133 Å, α = 90.00°, β = 90.00° and γ = 90.00°. The distinct sites, in fractional coordinates, are Zr at (0.000, 0.000, 0.000), Se at (0.500, 0.500, 0.500) and O at (0.000, 0.000, 0.500).